Entry 1:
# KLiSb2

A relaxed structure of KLiSb2 (PBEsol, the Alexandria database).

Values from the calculation:
E above lowest polymorph, meV/atom: 12
Spin magnetization, μB per formula unit: 0.00
Space group: C2/m, No. 12
E_form (uncorrected), eV per atom: -0.3660

Cell lengths 4.0486, 5.1983, 6.5245 Å; angles 101.22, 90.00, 112.92 degrees
Fractional coordinates of all 4 atoms:
Li1 0.0000 0.0000 0.5000
Sb1 0.7423 0.4846 0.6520
K1 0.5000 0.0000 0.0000
Sb2 0.2577 0.5154 0.3480



Entry 2:
# InSb2Rh

A relaxed structure of InSb2Rh (PBEsol, the Alexandria database).

Values from the calculation:
Spin magnetization, μB per formula unit: 0.00
Space group: Imm2, No. 44
E_form (uncorrected), eV per atom: -0.0787

Cell lengths 3.3090, 4.2570, 7.0157 Å; angles 107.66, 103.64, 90.00 degrees
Fractional coordinates of all 4 atoms:
Sb1 0.7326 0.2326 0.4653
In1 0.5629 0.5629 0.1259
Rh1 0.2724 0.7724 0.5448
Sb2 0.9321 0.9321 0.8641



Entry 3:
# Y2Ru

A relaxed structure of Y2Ru (PBEsol, the Alexandria database).

Values from the calculation:
Spin magnetization, μB per formula unit: 0.00
DFT total energy, Ry per atom: -0.59742
Space group: Pa-3, No. 205

Cell lengths 6.6990, 6.6990, 6.6990 Å; angles 90.00, 90.00, 90.00 degrees
Fractional coordinates of all 12 atoms:
Y1 0.6636 0.8364 0.1636
Ru1 0.5000 0.5000 0.0000
Y2 0.3364 0.3364 0.3364
Ru2 0.0000 0.0000 0.0000
Y3 0.8364 0.3364 0.1636
Y4 0.1636 0.6636 0.8364
Y5 0.6636 0.6636 0.6636
Y6 0.8364 0.1636 0.6636
Ru3 0.0000 0.5000 0.5000
Ru4 0.5000 0.0000 0.5000
Y7 0.3364 0.1636 0.8364
Y8 0.1636 0.8364 0.3364